Computed, not measured: MgCoSiMo after structural relaxation at the PBE-GGA level of DFT.

Properties
For the size of the total moment, the calculation gives 1.80 Bohr magnetons per cell. The calculated volume comes out at 13.436 Å³/atom. The calculation puts the energy above the most stable polymorph in this dataset at 0 meV per atom. The raw total energy comes out at -6.130 eV per atom.

Unit cell a=5.9905 b=5.9905 c=5.9905 alpha=90.00 beta=90.00 gamma=90.00
Space group F-43m (No. 216)
One atom of each set of equivalent atoms:
Mg  0.0000  0.0000  0.0000 [4 per cell]
Co  0.2500  0.2500  0.7500 [4 per cell]
Si  0.0000  0.0000  0.5000 [4 per cell]
Mo  0.2500  0.2500  0.2500 [4 per cell]

---

Computed, not measured: Gd2GaCoI2 after structural relaxation at the PBE-GGA level of DFT.

Properties
For the size of the total moment, the calculation gives 0.01 Bohr magnetons per cell. The calculated volume comes out at 29.638 Å³/atom. The raw total energy comes out at -4.670 eV per atom.

Unit cell a=4.1664 b=4.1664 c=11.8291 alpha=90.00 beta=90.00 gamma=120.00
Space group P3m1 (No. 156)
One atom of each set of equivalent atoms:
Gd  0.0000  0.0000  0.0000 [1 per cell]
Gd  0.0000  0.0000  0.3137 [1 per cell]
Ga  0.3333  0.6667  0.1546 [1 per cell]
Co  0.6667  0.3333  0.1564 [1 per cell]
I  0.3333  0.6667  0.4922 [1 per cell]
I  0.6667  0.3333  0.8205 [1 per cell]

---

Computed, not measured: InTcNiAu after structural relaxation at the PBE-GGA level of DFT.

Properties
For the size of the total moment, the calculation gives 8.00 Bohr magnetons per cell. The calculated volume comes out at 16.210 Å³/atom. The raw total energy comes out at -5.209 eV per atom.

Unit cell a=6.3772 b=6.3772 c=6.3772 alpha=90.00 beta=90.00 gamma=90.00
Space group F-43m (No. 216)
One atom of each set of equivalent atoms:
In  0.0000  0.0000  0.0000 [4 per cell]
Tc  0.2500  0.2500  0.7500 [4 per cell]
Ni  0.2500  0.2500  0.2500 [4 per cell]
Au  0.0000  0.0000  0.5000 [4 per cell]

---

Computed, not measured: TaCd2Sb after structural relaxation at the PBE-GGA level of DFT.

Properties
For the size of the total moment, the calculation gives 0.56 Bohr magnetons per cell. The calculated volume comes out at 21.351 Å³/atom. The raw total energy comes out at -3.897 eV per atom.

Unit cell a=6.9906 b=6.9906 c=6.9906 alpha=90.00 beta=90.00 gamma=90.00
Space group F-43m (No. 216)
One atom of each set of equivalent atoms:
Ta  0.0000  0.0000  0.0000 [4 per cell]
Cd  0.0000  0.0000  0.5000 [4 per cell]
Cd  0.2500  0.2500  0.2500 [4 per cell]
Sb  0.2500  0.2500  0.7500 [4 per cell]

---

Computed, not measured: NbBr2 after structural relaxation at the PBE-GGA level of DFT.

Properties
For the size of the total moment, the calculation gives 21.91 Bohr magnetons per cell. The calculated volume comes out at 62.651 Å³/atom. The raw total energy comes out at -4.366 eV per atom.

Unit cell a=11.4563 b=11.4563 c=11.4563 alpha=90.00 beta=90.00 gamma=90.00
Space group Fd-3m (No. 227, origin choice 2)
One atom of each set of equivalent atoms:
Nb  0.1250  0.1250  0.1250 [8 per cell]
Br  0.0000  0.0000  0.0000 [16 per cell]

---

Computed, not measured: Li2Sm2Cu15 after structural relaxation at the PBE-GGA level of DFT.

Properties
For the size of the total moment, the calculation gives 0.06 Bohr magnetons per cell. The calculated volume comes out at 14.051 Å³/atom. The raw total energy comes out at -3.763 eV per atom.

Unit cell a=8.5717 b=8.5717 c=12.5871 alpha=90.00 beta=90.00 gamma=120.00
Space group R-3m (No. 166, hexagonal axes)
One atom of each set of equivalent atoms:
Li  0.0000  0.0000  0.0933 [6 per cell]
Sm  0.0000  0.0000  0.3453 [6 per cell]
Cu  0.0000  0.3010  0.0000 [18 per cell]
Cu  0.0000  0.5000  0.5000 [9 per cell]
Cu  0.0010  0.5005  0.1569 [18 per cell]

---

Computed, not measured: TbSbPO after structural relaxation at the PBE-GGA level of DFT.

Properties
For the size of the total moment, the calculation gives 0.04 Bohr magnetons per cell. The calculated volume comes out at 21.505 Å³/atom. The calculation puts the energy above the most stable polymorph in this dataset at 77 meV per atom. The raw total energy comes out at -6.010 eV per atom.

Unit cell a=3.7582 b=6.4015 c=7.1511 alpha=90.00 beta=90.00 gamma=90.00
Space group Pmc2_1 (No. 26)
One atom of each set of equivalent atoms:
Tb  0.0000  0.1955  0.0000 [2 per cell]
Sb  0.5000  0.2957  0.6050 [2 per cell]
P  0.0000  0.3811  0.3619 [2 per cell]
O  0.5000  0.0386  0.0360 [2 per cell]

---

Computed, not measured: PaSnB after structural relaxation at the PBE-GGA level of DFT.

Properties
For the size of the total moment, the calculation gives 0.16 Bohr magnetons per cell. The calculated volume comes out at 19.990 Å³/atom. The calculation puts the energy above the most stable polymorph in this dataset at 0 meV per atom. The raw total energy comes out at -6.400 eV per atom.

Unit cell a=6.2134 b=6.2134 c=6.2134 alpha=90.00 beta=90.00 gamma=90.00
Space group F-43m (No. 216)
One atom of each set of equivalent atoms:
Pa  0.0000  0.0000  0.0000 [4 per cell]
Sn  0.0000  0.0000  0.5000 [4 per cell]
B  0.2500  0.2500  0.2500 [4 per cell]

---

Computed, not measured: NbNiB2 after structural relaxation at the PBE-GGA level of DFT.

Properties
For the size of the total moment, the calculation gives 0.06 Bohr magnetons per cell. The calculated volume comes out at 10.629 Å³/atom. The calculation puts the energy above the most stable polymorph in this dataset at 1350 meV per atom. The raw total energy comes out at -6.524 eV per atom.

Unit cell a=5.5403 b=5.5403 c=5.5403 alpha=90.00 beta=90.00 gamma=90.00
Space group F-43m (No. 216)
One atom of each set of equivalent atoms:
Nb  0.0000  0.0000  0.0000 [4 per cell]
Ni  0.2500  0.2500  0.2500 [4 per cell]
B  0.0000  0.0000  0.5000 [4 per cell]
B  0.2500  0.2500  0.7500 [4 per cell]

---

Computed, not measured: TmInAsO after structural relaxation at the PBE-GGA level of DFT.

Properties
For the size of the total moment, the calculation gives 0.05 Bohr magnetons per cell. The calculated volume comes out at 22.703 Å³/atom. The calculation puts the energy above the most stable polymorph in this dataset at 174 meV per atom. The raw total energy comes out at -5.516 eV per atom.

Unit cell a=4.0593 b=7.6451 c=5.8524 alpha=90.00 beta=90.00 gamma=90.00
Space group Pmc2_1 (No. 26)
One atom of each set of equivalent atoms:
Tm  0.0000  0.1862  0.0000 [2 per cell]
In  0.5000  0.3942  0.5902 [2 per cell]
As  0.0000  0.1840  0.4922 [2 per cell]
O  0.5000  0.2850  0.9786 [2 per cell]

---

Computed, not measured: Ho3Er3Lu2Te after structural relaxation at the PBE-GGA level of DFT.

Properties
For the size of the total moment, the calculation gives 0.05 Bohr magnetons per cell. The calculated volume comes out at 29.921 Å³/atom. The raw total energy comes out at -4.682 eV per atom.

Unit cell a=9.1255 b=9.1255 c=3.7340 alpha=90.00 beta=90.00 gamma=120.00
Space group P-62m (No. 189)
One atom of each set of equivalent atoms:
Ho  0.0000  0.2772  0.0000 [3 per cell]
Er  0.0000  0.6141  0.5000 [3 per cell]
Lu  0.3333  0.6667  0.0000 [2 per cell]
Te  0.0000  0.0000  0.5000 [1 per cell]

---

Computed, not measured: ScCoSi after structural relaxation at the PBE-GGA level of DFT.

Properties
For the size of the total moment, the calculation gives 0.00 Bohr magnetons per cell. The calculated volume comes out at 14.593 Å³/atom. The raw total energy comes out at -7.132 eV per atom.

Unit cell a=6.4269 b=3.9809 c=6.8446 alpha=90.00 beta=90.00 gamma=90.00
Space group Pnma (No. 62)
One atom of each set of equivalent atoms:
Sc  0.0054  0.2500  0.1941 [4 per cell]
Co  0.1526  0.7500  0.4372 [4 per cell]
Si  0.2066  0.2500  0.6086 [4 per cell]